The following is a DFT calculation (GGA-PBEsol) of a relaxed NaCrHg2Sb crystal.

Computed properties:
For the density, the calculation gives 6.9 g cm⁻³. For the total DFT energy (no corrections), the calculation gives -2.53 eV per atom. Its density of states at the Fermi level is 3.94 states/eV/cell.

Cell and atoms, written as CIF:
```
data_NaCrHg2Sb
_cell_length_a 5.0959
_cell_length_b 5.0959
_cell_length_c 5.5410
_cell_angle_alpha 90.00
_cell_angle_beta 90.00
_cell_angle_gamma 90.00
_symmetry_space_group_name_H-M 'P 4/m m m'
_symmetry_Int_Tables_number 123
_symmetry_space_group_name_Hall '-P 4 2'
loop_
_atom_site_label
_atom_site_type_symbol
_atom_site_fract_x
_atom_site_fract_y
_atom_site_fract_z
_atom_site_occupancy
Na1 Na 0.0000 0.0000 0.0000 1
Cr1 Cr 0.5000 0.5000 0.5000 1
Hg1 Hg 0.0000 0.5000 0.0000 1
Sb1 Sb 0.0000 0.0000 0.5000 1
```

The following is a DFT calculation (GGA-PBEsol) of a relaxed ZrC crystal.

Computed properties:
For the density, the calculation gives 6.7 g cm⁻³. The excess energy over the best structure of this formula in the dataset is 0 meV/atom. Its density of states at the Fermi level is 1.38 states/eV/cell.

Cell and atoms, written as CIF:
```
data_ZrC
_cell_length_a 4.6715
_cell_length_b 4.6715
_cell_length_c 4.6715
_cell_angle_alpha 90.00
_cell_angle_beta 90.00
_cell_angle_gamma 90.00
_symmetry_space_group_name_H-M 'F m -3 m'
_symmetry_Int_Tables_number 225
_symmetry_space_group_name_Hall '-F 4 2 3'
loop_
_atom_site_label
_atom_site_type_symbol
_atom_site_fract_x
_atom_site_fract_y
_atom_site_fract_z
_atom_site_occupancy
Zr1 Zr 0.0000 0.0000 0.0000 1
C1 C 0.0000 0.0000 0.5000 1
```